Material: Li3Sn2Hg3
Method: DFT, PBE-GGA
State: optimized geometry

Calculated values
E_tot   -16.56 eV for the cell shown
Formation enthalpy at 0 K   -0.24 eV per atom
Total moment   0.00 μB per formula unit

Geometry as CIF:
```
data_Li3Sn2Hg3
_space_group_name_H-M_alt 'P -6 2 m'
_space_group_IT_number 189
_space_group_name_Hall 'P -6 -2'
_cell_length_a 7.8983
_cell_length_b 7.8983
_cell_length_c 3.2116
_cell_angle_alpha 90.00
_cell_angle_beta 90.00
_cell_angle_gamma 120.00
loop_
_atom_site_label
_atom_site_type_symbol
_atom_site_fract_x
_atom_site_fract_y
_atom_site_fract_z
_atom_site_occupancy
Li1 Li 0.0000 0.3492 0.0000 1
Sn1 Sn 0.3333 0.6667 0.5000 1
Hg1 Hg 0.0000 0.7617 0.5000 1
```